Entry 1:
## Ho3Si3Ir (PBE)

Data for a relaxed Ho3Si3Ir crystal.

Calculated values
As for the mass density: 9.13 g/cm³. The calculation puts the formation energy (no corrections) at -927 meV/atom.

abc: 5.6281 5.6281 13.5973
angles: 108.80 108.80 44.03
Closest atoms and distances in Å follow each position.
Fractional coordinates of all 14 atoms:
1 Ho 0.0252 0.0252 0.3760  6 Si 2.92-3.15, 4 Ir 2.99-3.17
2 Ho 0.1037 0.1037 0.9222  7 Si 2.93-3.09
3 Ho 0.2453 0.2453 0.2303  6 Si 2.95-3.08, 2 Ir 3.08
4 Ho 0.7547 0.7547 0.7697  6 Si 2.95-3.08, 2 Ir 3.08
5 Ho 0.8963 0.8963 0.0778  7 Si 2.93-3.09
6 Ho 0.9748 0.9748 0.6240  6 Si 2.92-3.15, 4 Ir 2.99-3.17
7 Si 0.3658 0.3658 0.4616  3 Ir 2.44-2.60, 1 Si 2.63
8 Si 0.3893 0.3893 0.9264  2 Si 2.48-2.50
9 Si 0.4587 0.4587 0.7680  1 Si 2.50, 1 Ir 2.52
10 Si 0.5413 0.5413 0.2320  1 Si 2.50, 1 Ir 2.52
11 Si 0.6107 0.6107 0.0736  2 Si 2.48-2.50
12 Si 0.6342 0.6342 0.5384  3 Ir 2.44-2.60, 1 Si 2.63
13 Ir 0.2504 0.2504 0.6034  4 Si 2.44-2.60
14 Ir 0.7496 0.7496 0.3966  4 Si 2.44-2.60

---

Entry 2:
## HoSi4Ir6 (PBE)

Data for a relaxed HoSi4Ir6 crystal.

Calculated values
As for the mass density: 14.47 g/cm³. The calculation puts the formation energy (no corrections) at -856 meV/atom.

abc: 7.0392 7.0392 3.8263
angles: 90.00 90.00 120.00
Closest atoms and distances in Å follow each position.
Fractional coordinates of all 11 atoms:
1 Ho 0.0000 0.0000 0.0000  6 Si 3.06, 6 Ir 3.07
2 Si 0.3333 0.6667 0.0000  9 Ir 2.44-2.53
3 Si 0.3923 0.1962 0.5000  6 Ir 2.40-2.53
4 Si 0.8038 0.1962 0.5000  6 Ir 2.40-2.53
5 Si 0.8038 0.6077 0.5000  6 Ir 2.40-2.53
6 Ir 0.1973 0.3945 0.5000  4 Si 2.40-2.53
7 Ir 0.1973 0.8027 0.5000  4 Si 2.40-2.53
8 Ir 0.5333 0.0666 0.0000  5 Si 2.44-2.53
9 Ir 0.5333 0.4667 0.0000  5 Si 2.44-2.53
10 Ir 0.6055 0.8027 0.5000  4 Si 2.40-2.53
11 Ir 0.9334 0.4667 0.0000  5 Si 2.44-2.53

---

Entry 3:
## Ho2Si3Ir (PBE)

Data for a relaxed Ho2Si3Ir crystal.

Calculated values
As for the mass density: 8.75 g/cm³. The calculation puts the formation energy (no corrections) at -913 meV/atom.

abc: 8.1384 8.1083 5.7167
angles: 69.68 69.12 41.20
Closest atoms and distances in Å follow each position.
Fractional coordinates of all 12 atoms:
1 Ho 0.2471 0.7529 0.7529  2 Ir 3.07, 10 Si 3.08-3.11
2 Ho 0.2500 0.2500 0.2500  8 Si 3.09, 4 Ir 3.09
3 Ho 0.7500 0.7500 0.7500  8 Si 3.09, 4 Ir 3.09
4 Ho 0.7529 0.2471 0.2471  2 Ir 3.07, 10 Si 3.08-3.11
5 Si 0.1676 0.6655 0.3345  2 Si 2.34-2.35, 1 Ir 2.35
6 Si 0.3330 0.3330 0.6670  2 Si 2.34, 1 Ir 2.35
7 Si 0.3345 0.8324 0.1676  2 Si 2.34-2.35, 1 Ir 2.35
8 Si 0.6655 0.1676 0.8324  2 Si 2.34-2.35, 1 Ir 2.35
9 Si 0.6670 0.6670 0.3330  2 Si 2.34, 1 Ir 2.35
10 Si 0.8324 0.3345 0.6655  2 Si 2.34-2.35, 1 Ir 2.35
11 Ir 0.1661 0.1661 0.8339  3 Si 2.35
12 Ir 0.8339 0.8339 0.1661  3 Si 2.35

---

Entry 4:
## HoSi3Ir5 (PBE)

Data for a relaxed HoSi3Ir5 crystal.

Calculated values
As for the mass density: 13.51 g/cm³. The calculation puts the formation energy (no corrections) at -632 meV/atom.

abc: 6.4785 6.4785 12.3724
angles: 90.00 90.00 145.04
Closest atoms and distances in Å follow each position.
Fractional coordinates of all 18 atoms:
1 Ho 0.1561 0.8439 0.7500  7 Si 3.26-3.46, 10 Ir 3.38-3.65
2 Ho 0.8439 0.1561 0.2500  7 Si 3.26-3.46, 10 Ir 3.38-3.65
3 Si 0.1241 0.8759 0.2500  6 Ir 2.38-2.49
4 Si 0.3857 0.6143 0.0428  5 Ir 2.27-2.47
5 Si 0.3857 0.6143 0.4572  5 Ir 2.27-2.47
6 Si 0.6143 0.3857 0.5428  5 Ir 2.27-2.47
7 Si 0.6143 0.3857 0.9572  5 Ir 2.27-2.47
8 Si 0.8759 0.1241 0.7500  6 Ir 2.38-2.49
9 Ir 0.0000 0.0000 0.0000  4 Si 2.46, 6 Ir 2.70-2.74
10 Ir 0.0000 0.0000 0.5000  4 Si 2.46, 6 Ir 2.70-2.74
11 Ir 0.2048 0.7952 0.0752  2 Si 2.27-2.38
12 Ir 0.2048 0.7952 0.4248  2 Si 2.27-2.38
13 Ir 0.4479 0.5521 0.6469  4 Si 2.43-2.49, 1 Ir 2.55
14 Ir 0.4479 0.5521 0.8531  4 Si 2.43-2.49, 1 Ir 2.55
15 Ir 0.5521 0.4479 0.1469  4 Si 2.43-2.49, 1 Ir 2.55
16 Ir 0.5521 0.4479 0.3531  4 Si 2.43-2.49, 1 Ir 2.55
17 Ir 0.7952 0.2048 0.5752  2 Si 2.27-2.38
18 Ir 0.7952 0.2048 0.9248  2 Si 2.27-2.38

---

Entry 5:
## Ho3Si2Ir2 (PBE)

Data for a relaxed Ho3Si2Ir2 crystal.

Calculated values
As for the mass density: 10.92 g/cm³. The calculation puts the formation energy (no corrections) at -979 meV/atom.

abc: 5.6278 7.7465 13.0541
angles: 90.00 90.00 90.00
Closest atoms and distances in Å follow each position.
Fractional coordinates of all 28 atoms:
1 Ho 0.1211 0.2501 0.2500  5 Si 2.95-3.27, 4 Ir 2.99-3.12
2 Ho 0.1211 0.2499 0.7500  5 Si 2.95-3.27, 4 Ir 2.99-3.12
3 Ho 0.3629 0.6081 0.1042  4 Ir 2.88-3.09, 3 Si 2.94-3.11
4 Ho 0.3629 0.6081 0.3958  4 Ir 2.88-3.09, 3 Si 2.94-3.11
5 Ho 0.3629 0.8919 0.6042  4 Ir 2.88-3.09, 3 Si 2.94-3.11
6 Ho 0.3629 0.8919 0.8958  4 Ir 2.88-3.09, 3 Si 2.94-3.11
7 Ho 0.6371 0.1081 0.1042  4 Ir 2.88-3.09, 3 Si 2.94-3.11
8 Ho 0.6371 0.1081 0.3958  4 Ir 2.88-3.09, 3 Si 2.94-3.11
9 Ho 0.6371 0.3919 0.6042  4 Ir 2.88-3.09, 3 Si 2.94-3.11
10 Ho 0.6371 0.3919 0.8958  4 Ir 2.88-3.09, 3 Si 2.94-3.11
11 Ho 0.8789 0.7501 0.2500  5 Si 2.95-3.27, 4 Ir 2.99-3.12
12 Ho 0.8789 0.7499 0.7500  5 Si 2.95-3.27, 4 Ir 2.99-3.12
13 Si 0.0948 0.2500 0.0000  4 Ir 2.45-2.51
14 Si 0.0948 0.2500 0.5000  4 Ir 2.45-2.51
15 Si 0.3618 0.6025 0.7500  2 Ir 2.48
16 Si 0.3618 0.8975 0.2500  2 Ir 2.48
17 Si 0.6382 0.1025 0.7500  2 Ir 2.48
18 Si 0.6382 0.3975 0.2500  2 Ir 2.48
19 Si 0.9052 0.7500 0.0000  4 Ir 2.45-2.51
20 Si 0.9052 0.7500 0.5000  4 Ir 2.45-2.51
21 Ir 0.1486 0.5249 0.5899  3 Si 2.45-2.51
22 Ir 0.1486 0.5249 0.9101  3 Si 2.45-2.51
23 Ir 0.1486 0.9751 0.0899  3 Si 2.45-2.51
24 Ir 0.1486 0.9751 0.4101  3 Si 2.45-2.51
25 Ir 0.8514 0.0249 0.5899  3 Si 2.45-2.51
26 Ir 0.8514 0.0249 0.9101  3 Si 2.45-2.51
27 Ir 0.8514 0.4751 0.0899  3 Si 2.45-2.51
28 Ir 0.8514 0.4751 0.4101  3 Si 2.45-2.51

---

Entry 6:
## Ho2Si4Ir3 (PBE)

Data for a relaxed Ho2Si4Ir3 crystal.

Calculated values
As for the mass density: 11.50 g/cm³. The calculation puts the formation energy (no corrections) at -949 meV/atom.

abc: 7.8433 7.8433 7.1694
angles: 90.00 90.00 138.15
Closest atoms and distances in Å follow each position.
Fractional coordinates of all 18 atoms:
1 Ho 0.1062 0.8938 0.9058  8 Si 2.91-3.24, 2 Ir 3.01
2 Ho 0.3938 0.6062 0.4058  8 Si 2.91-3.24, 2 Ir 3.01
3 Ho 0.6062 0.3938 0.5942  8 Si 2.91-3.24, 2 Ir 3.01
4 Ho 0.8938 0.1062 0.0942  8 Si 2.91-3.24, 2 Ir 3.01
5 Si 0.1801 0.8199 0.5245  5 Ir 2.52-2.65
6 Si 0.1875 0.3125 0.7500  3 Ir 2.44-2.45
7 Si 0.3125 0.1875 0.2500  3 Ir 2.44-2.45
8 Si 0.3199 0.6801 0.0245  5 Ir 2.52-2.65
9 Si 0.6801 0.3199 0.9755  5 Ir 2.52-2.65
10 Si 0.6875 0.8125 0.7500  3 Ir 2.44-2.45
11 Si 0.8125 0.6875 0.2500  3 Ir 2.44-2.45
12 Si 0.8199 0.1801 0.4755  5 Ir 2.52-2.65
13 Ir 0.0000 0.0000 0.5000  6 Si 2.45-2.65
14 Ir 0.0211 0.4789 0.7500  5 Si 2.44-2.52
15 Ir 0.4789 0.0211 0.2500  5 Si 2.44-2.52
16 Ir 0.5000 0.5000 0.0000  6 Si 2.45-2.65
17 Ir 0.5211 0.9789 0.7500  5 Si 2.44-2.52
18 Ir 0.9789 0.5211 0.2500  5 Si 2.44-2.52